1.
# BeAgBi PBE-GGA optimized geometry
data_BeAgBi
_cell_length_a 10.169
_cell_length_b 4.941
_cell_length_c 5.123
_cell_angle_alpha 90.00
_cell_angle_beta 90.00
_cell_angle_gamma 90.00
_space_group_name_H-M_alt 'P 1'
_space_group_IT_number 1
_space_group_name_Hall 'P 1'
loop_
_atom_site_label
_atom_site_type_symbol
_atom_site_fract_x
_atom_site_fract_y
_atom_site_fract_z
Be1 Be 0.000 0.000 0.000
Be2 Be 0.000 0.500 0.000
Be3 Be 0.500 0.000 0.500
Be4 Be 0.500 0.500 0.500
Ag1 Ag 0.047 0.250 0.394
Ag2 Ag 0.453 0.750 0.894
Ag3 Ag 0.547 0.250 0.106
Ag4 Ag 0.953 0.750 0.606
Bi1 Bi 0.196 0.750 0.240
Bi2 Bi 0.304 0.250 0.740
Bi3 Bi 0.696 0.750 0.260
Bi4 Bi 0.804 0.250 0.760
# **Raw total energy**: -3.165 eV per atom
# **ΔH_f (0 K)**: 0.96 eV per formula unit

***

2.
# BeAgBi3 PBE-GGA optimized geometry
data_BeAgBi3
_cell_length_a 5.125
_cell_length_b 5.125
_cell_length_c 5.125
_cell_angle_alpha 90.00
_cell_angle_beta 90.00
_cell_angle_gamma 90.00
_space_group_name_H-M_alt 'P 1'
_space_group_IT_number 1
_space_group_name_Hall 'P 1'
loop_
_atom_site_label
_atom_site_type_symbol
_atom_site_fract_x
_atom_site_fract_y
_atom_site_fract_z
Be1 Be 0.000 0.000 0.000
Ag1 Ag 0.500 0.500 0.500
Bi1 Bi 0.000 0.000 0.500
Bi2 Bi 0.000 0.500 0.000
Bi3 Bi 0.500 0.000 0.000
# **Raw total energy**: -3.099 eV per atom
# **ΔH_f (0 K)**: 2.73 eV per formula unit

***

3.
# BeAgBi PBE-GGA optimized geometry
data_BeAgBi
_cell_length_a 3.205
_cell_length_b 4.506
_cell_length_c 9.045
_cell_angle_alpha 86.34
_cell_angle_beta 89.93
_cell_angle_gamma 69.27
_space_group_name_H-M_alt 'P 1'
_space_group_IT_number 1
_space_group_name_Hall 'P 1'
loop_
_atom_site_label
_atom_site_type_symbol
_atom_site_fract_x
_atom_site_fract_y
_atom_site_fract_z
Be1 Be 0.152 0.197 0.458
Be2 Be 0.848 0.803 0.542
Ag1 Ag 0.423 0.655 0.354
Ag2 Ag 0.577 0.345 0.646
Bi1 Bi 0.129 0.239 0.153
Bi2 Bi 0.871 0.761 0.847
# **Raw total energy**: -3.283 eV per atom
# **ΔH_f (0 K)**: 0.61 eV per formula unit

***

4.
# BeAgBi PBE-GGA optimized geometry
data_BeAgBi
_cell_length_a 4.282
_cell_length_b 4.282
_cell_length_c 6.605
_cell_angle_alpha 90.00
_cell_angle_beta 90.00
_cell_angle_gamma 90.00
_space_group_name_H-M_alt 'P 1'
_space_group_IT_number 1
_space_group_name_Hall 'P 1'
loop_
_atom_site_label
_atom_site_type_symbol
_atom_site_fract_x
_atom_site_fract_y
_atom_site_fract_z
Be1 Be 0.250 0.750 0.000
Be2 Be 0.750 0.250 0.000
Ag1 Ag 0.250 0.250 0.197
Ag2 Ag 0.750 0.750 0.803
Bi1 Bi 0.250 0.250 0.698
Bi2 Bi 0.750 0.750 0.302
# **Raw total energy**: -3.214 eV per atom
# **ΔH_f (0 K)**: 0.82 eV per formula unit

***

5.
# BeAgBi PBE-GGA optimized geometry
data_BeAgBi
_cell_length_a 4.119
_cell_length_b 4.119
_cell_length_c 8.820
_cell_angle_alpha 103.13
_cell_angle_beta 103.13
_cell_angle_gamma 59.88
_space_group_name_H-M_alt 'P 1'
_space_group_IT_number 1
_space_group_name_Hall 'P 1'
loop_
_atom_site_label
_atom_site_type_symbol
_atom_site_fract_x
_atom_site_fract_y
_atom_site_fract_z
Be1 Be 0.000 0.000 0.000
Be2 Be 0.718 0.718 0.162
Ag1 Ag 0.092 0.092 0.286
Ag2 Ag 0.357 0.357 0.076
Bi1 Bi 0.611 0.611 0.829
Bi2 Bi 0.825 0.825 0.490
# **Raw total energy**: -3.262 eV per atom
# **ΔH_f (0 K)**: 0.67 eV per formula unit

***

6.
# BeAgBi PBE-GGA optimized geometry
data_BeAgBi
_cell_length_a 4.109
_cell_length_b 4.725
_cell_length_c 6.850
_cell_angle_alpha 74.93
_cell_angle_beta 72.89
_cell_angle_gamma 89.94
_space_group_name_H-M_alt 'P 1'
_space_group_IT_number 1
_space_group_name_Hall 'P 1'
loop_
_atom_site_label
_atom_site_type_symbol
_atom_site_fract_x
_atom_site_fract_y
_atom_site_fract_z
Be1 Be 0.000 0.000 0.000
Be2 Be 0.431 0.108 0.140
Ag1 Ag 0.805 0.830 0.391
Ag2 Ag 0.931 0.416 0.140
Bi1 Bi 0.244 0.319 0.512
Bi2 Bi 0.572 0.772 0.856
# **Raw total energy**: -3.232 eV per atom
# **ΔH_f (0 K)**: 0.76 eV per formula unit

***

7.
# BeAgBi PBE-GGA optimized geometry
data_BeAgBi
_cell_length_a 4.280
_cell_length_b 4.280
_cell_length_c 8.208
_cell_angle_alpha 90.00
_cell_angle_beta 90.00
_cell_angle_gamma 120.00
_space_group_name_H-M_alt 'P 1'
_space_group_IT_number 1
_space_group_name_Hall 'P 1'
loop_
_atom_site_label
_atom_site_type_symbol
_atom_site_fract_x
_atom_site_fract_y
_atom_site_fract_z
Be1 Be 0.333 0.667 0.250
Be2 Be 0.667 0.333 0.750
Ag1 Ag 0.000 0.000 0.000
Ag2 Ag 0.000 0.000 0.500
Bi1 Bi 0.333 0.667 0.750
Bi2 Bi 0.667 0.333 0.250
# **Raw total energy**: -2.990 eV per atom
# **ΔH_f (0 K)**: 1.49 eV per formula unit

***

8.
# BeAgBi PBE-GGA optimized geometry
data_BeAgBi
_cell_length_a 3.205
_cell_length_b 4.528
_cell_length_c 9.024
_cell_angle_alpha 81.39
_cell_angle_beta 86.62
_cell_angle_gamma 69.96
_space_group_name_H-M_alt 'P 1'
_space_group_IT_number 1
_space_group_name_Hall 'P 1'
loop_
_atom_site_label
_atom_site_type_symbol
_atom_site_fract_x
_atom_site_fract_y
_atom_site_fract_z
Be1 Be 0.000 0.000 0.000
Be2 Be 0.305 0.405 0.902
Ag1 Ag 0.586 0.886 0.801
Ag2 Ag 0.707 0.537 0.092
Bi1 Bi 0.293 0.494 0.599
Bi2 Bi 0.388 0.031 0.286
# **Raw total energy**: -3.266 eV per atom
# **ΔH_f (0 K)**: 0.66 eV per formula unit

***

9.
# BeAgBi PBE-GGA optimized geometry
data_BeAgBi
_cell_length_a 3.491
_cell_length_b 3.491
_cell_length_c 10.591
_cell_angle_alpha 90.00
_cell_angle_beta 90.00
_cell_angle_gamma 90.00
_space_group_name_H-M_alt 'P 1'
_space_group_IT_number 1
_space_group_name_Hall 'P 1'
loop_
_atom_site_label
_atom_site_type_symbol
_atom_site_fract_x
_atom_site_fract_y
_atom_site_fract_z
Be1 Be 0.250 0.750 0.000
Be2 Be 0.750 0.250 0.000
Ag1 Ag 0.250 0.250 0.435
Ag2 Ag 0.750 0.750 0.565
Bi1 Bi 0.250 0.250 0.810
Bi2 Bi 0.750 0.750 0.190
# **Raw total energy**: -3.117 eV per atom
# **ΔH_f (0 K)**: 1.11 eV per formula unit

***

10.
# BeAgBi PBE-GGA optimized geometry
data_BeAgBi
_cell_length_a 3.184
_cell_length_b 3.823
_cell_length_c 10.003
_cell_angle_alpha 90.02
_cell_angle_beta 96.31
_cell_angle_gamma 90.01
_space_group_name_H-M_alt 'P 1'
_space_group_IT_number 1
_space_group_name_Hall 'P 1'
loop_
_atom_site_label
_atom_site_type_symbol
_atom_site_fract_x
_atom_site_fract_y
_atom_site_fract_z
Be1 Be 0.000 0.000 0.000
Be2 Be 0.040 0.500 0.137
Ag1 Ag 0.480 0.499 0.947
Ag2 Ag 0.564 0.000 0.197
Bi1 Bi 0.103 0.499 0.412
Bi2 Bi 0.133 0.999 0.723
# **Raw total energy**: -3.280 eV per atom
# **ΔH_f (0 K)**: 0.62 eV per formula unit

***

11.
# BeAgBi PBE-GGA optimized geometry
data_BeAgBi
_cell_length_a 4.030
_cell_length_b 4.754
_cell_length_c 7.676
_cell_angle_alpha 77.76
_cell_angle_beta 89.91
_cell_angle_gamma 64.96
_space_group_name_H-M_alt 'P 1'
_space_group_IT_number 1
_space_group_name_Hall 'P 1'
loop_
_atom_site_label
_atom_site_type_symbol
_atom_site_fract_x
_atom_site_fract_y
_atom_site_fract_z
Be1 Be 0.000 0.000 0.000
Be2 Be 0.462 0.076 0.845
Ag1 Ag 0.166 0.671 0.783
Ag2 Ag 0.726 0.550 0.051
Bi1 Bi 0.459 0.081 0.230
Bi2 Bi 0.829 0.347 0.610
# **Raw total energy**: -3.239 eV per atom
# **ΔH_f (0 K)**: 0.74 eV per formula unit

***

12.
# BeAgBi PBE-GGA optimized geometry
data_BeAgBi
_cell_length_a 3.783
_cell_length_b 4.384
_cell_length_c 8.300
_cell_angle_alpha 84.30
_cell_angle_beta 89.98
_cell_angle_gamma 64.57
_space_group_name_H-M_alt 'P 1'
_space_group_IT_number 1
_space_group_name_Hall 'P 1'
loop_
_atom_site_label
_atom_site_type_symbol
_atom_site_fract_x
_atom_site_fract_y
_atom_site_fract_z
Be1 Be 0.000 0.000 0.000
Be2 Be 0.385 0.233 0.860
Ag1 Ag 0.692 0.619 0.890
Ag2 Ag 0.980 0.042 0.697
Bi1 Bi 0.322 0.354 0.176
Bi2 Bi 0.651 0.700 0.498
# **Raw total energy**: -3.234 eV per atom
# **ΔH_f (0 K)**: 0.76 eV per formula unit